1.
{
  "formula": "Tl2Os2O5",
  "functional": "PBE",
  "state": "relaxed",
  "lattice": [[3.815, 0.000, 0.000], [0.000, 3.815, 0.000], [0.000, 0.000, 9.069]],
  "species": ["Tl", "Tl", "Os", "Os", "O", "O", "O", "O", "O"],
  "frac_coords": [[0.000, 0.000, 0.000], [0.000, 0.000, 0.500], [0.500, 0.500, 0.243], [0.500, 0.500, 0.757], [0.000, 0.500, 0.250], [0.000, 0.500, 0.750], [0.500, 0.000, 0.250], [0.500, 0.000, 0.750], [0.500, 0.500, 0.000]],
  "mass_density_g_cm3": 10.9,
  "vol_a3_per_atom": 14.67,
  "spacegroup": "P4/mmm (123)",
  "final_energy_ry_per_atom": -0.4666,
  "total_magnetization_mub_per_cell": 0.0
}

2.
{
  "formula": "TlOsO3",
  "functional": "PBE",
  "state": "relaxed",
  "lattice": [[5.619, 0.000, 0.000], [0.000, 7.883, 0.000], [0.000, 0.000, 5.563]],
  "species": ["Tl", "Tl", "Tl", "Tl", "Os", "Os", "Os", "Os", "O", "O", "O", "O", "O", "O", "O", "O", "O", "O", "O", "O"],
  "frac_coords": [[0.001, 0.250, 0.000], [0.499, 0.750, 0.500], [0.501, 0.250, 0.500], [0.999, 0.750, 0.000], [0.000, 0.000, 0.500], [0.000, 0.500, 0.500], [0.500, 0.000, 0.000], [0.500, 0.500, 0.000], [0.000, 0.250, 0.498], [0.000, 0.750, 0.502], [0.249, 0.001, 0.751], [0.249, 0.499, 0.751], [0.251, 0.501, 0.251], [0.251, 0.999, 0.251], [0.500, 0.250, 0.002], [0.500, 0.750, 0.998], [0.749, 0.001, 0.749], [0.749, 0.499, 0.749], [0.751, 0.501, 0.249], [0.751, 0.999, 0.249]],
  "mass_density_g_cm3": 11.9,
  "vol_a3_per_atom": 12.32,
  "spacegroup": "Pnma (62)",
  "final_energy_ry_per_atom": -0.4708,
  "total_magnetization_mub_per_cell": 0.0
}

3.
{
  "formula": "TlOsO3",
  "functional": "PBE",
  "state": "relaxed",
  "lattice": [[5.391, 0.000, 0.000], [-2.695, 4.668, 0.000], [0.000, 0.000, 12.879]],
  "species": ["Tl", "Tl", "Tl", "Tl", "Os", "Os", "Os", "Os", "O", "O", "O", "O", "O", "O", "O", "O", "O", "O", "O", "O"],
  "frac_coords": [[0.333, 0.667, 0.057], [0.333, 0.667, 0.443], [0.667, 0.333, 0.557], [0.667, 0.333, 0.943], [0.000, 0.000, 0.250], [0.000, 0.000, 0.750], [0.333, 0.667, 0.750], [0.667, 0.333, 0.250], [0.053, 0.333, 0.670], [0.053, 0.720, 0.830], [0.280, 0.333, 0.830], [0.280, 0.947, 0.670], [0.333, 0.053, 0.330], [0.333, 0.280, 0.170], [0.667, 0.720, 0.670], [0.667, 0.947, 0.830], [0.720, 0.053, 0.170], [0.720, 0.667, 0.330], [0.947, 0.280, 0.330], [0.947, 0.667, 0.170]],
  "mass_density_g_cm3": 9.1,
  "vol_a3_per_atom": 16.21,
  "spacegroup": "P6_322 (182)",
  "final_energy_ry_per_atom": -0.4833,
  "total_magnetization_mub_per_cell": 0.1
}

4.
{
  "formula": "Tl2OsO4",
  "functional": "PBE",
  "state": "relaxed",
  "lattice": [[0.000, 5.067, 5.067], [5.067, 0.000, 5.067], [5.067, 5.067, 0.000]],
  "species": ["Tl", "Tl", "Tl", "Tl", "Os", "Os", "O", "O", "O", "O", "O", "O", "O", "O"],
  "frac_coords": [[0.000, 0.000, 0.000], [0.000, 0.000, 0.500], [0.000, 0.500, 0.000], [0.500, 0.000, 0.000], [0.375, 0.375, 0.375], [0.625, 0.625, 0.625], [0.273, 0.273, 0.273], [0.273, 0.273, 0.681], [0.273, 0.681, 0.273], [0.319, 0.727, 0.727], [0.681, 0.273, 0.273], [0.727, 0.319, 0.727], [0.727, 0.727, 0.319], [0.727, 0.727, 0.727]],
  "mass_density_g_cm3": 8.5,
  "vol_a3_per_atom": 18.59,
  "spacegroup": "Fd-3m (227)",
  "final_energy_ry_per_atom": -0.4333,
  "total_magnetization_mub_per_cell": 3.6
}

5.
{
  "formula": "TlOsO3",
  "functional": "PBE",
  "state": "relaxed",
  "lattice": [[5.369, 0.000, 0.000], [-2.685, 4.650, 0.000], [0.000, 0.000, 13.210]],
  "species": ["Tl", "Tl", "Tl", "Tl", "Os", "Os", "Os", "Os", "O", "O", "O", "O", "O", "O", "O", "O", "O", "O", "O", "O"],
  "frac_coords": [[0.333, 0.667, 0.060], [0.333, 0.667, 0.440], [0.667, 0.333, 0.560], [0.667, 0.333, 0.940], [0.000, 0.000, 0.250], [0.000, 0.000, 0.750], [0.333, 0.667, 0.750], [0.667, 0.333, 0.250], [0.051, 0.333, 0.672], [0.051, 0.718, 0.828], [0.282, 0.333, 0.828], [0.282, 0.949, 0.672], [0.333, 0.051, 0.172], [0.333, 0.282, 0.328], [0.667, 0.718, 0.672], [0.667, 0.949, 0.828], [0.718, 0.051, 0.328], [0.718, 0.667, 0.172], [0.949, 0.282, 0.172], [0.949, 0.667, 0.328]],
  "mass_density_g_cm3": 8.9,
  "vol_a3_per_atom": 16.49,
  "spacegroup": "P-31c (163)",
  "final_energy_ry_per_atom": -0.4835,
  "total_magnetization_mub_per_cell": 0.0
}

6.
{
  "formula": "Tl4OsO5",
  "functional": "PBE",
  "state": "relaxed",
  "lattice": [[-4.277, 4.277, 2.641], [4.277, -4.277, 2.641], [4.277, 4.277, -2.641]],
  "species": ["Tl", "Tl", "Tl", "Tl", "Os", "O", "O", "O", "O", "O"],
  "frac_coords": [[0.128, 0.345, 0.473], [0.345, 0.872, 0.216], [0.655, 0.128, 0.784], [0.872, 0.655, 0.527], [0.638, 0.638, 0.000], [0.336, 0.620, 0.895], [0.440, 0.336, 0.716], [0.620, 0.725, 0.284], [0.725, 0.440, 0.105], [0.965, 0.965, 0.000]],
  "mass_density_g_cm3": 9.3,
  "vol_a3_per_atom": 19.33,
  "spacegroup": "I4 (79)",
  "final_energy_ry_per_atom": -0.3900,
  "total_magnetization_mub_per_cell": 0.0
}

7.
{
  "formula": "TlOsO3",
  "functional": "PBE",
  "state": "relaxed",
  "lattice": [[7.227, 0.000, 0.000], [0.000, 9.088, 0.000], [0.000, 0.000, 5.577]],
  "species": ["Tl", "Tl", "Tl", "Tl", "Os", "Os", "Os", "Os", "O", "O", "O", "O", "O", "O", "O", "O", "O", "O", "O", "O"],
  "frac_coords": [[0.000, 0.000, 0.000], [0.000, 0.500, 0.000], [0.500, 0.000, 0.500], [0.500, 0.500, 0.500], [0.012, 0.250, 0.495], [0.488, 0.750, 0.995], [0.512, 0.250, 0.005], [0.988, 0.750, 0.505], [0.150, 0.093, 0.441], [0.150, 0.407, 0.441], [0.222, 0.750, 0.447], [0.278, 0.250, 0.947], [0.350, 0.593, 0.941], [0.350, 0.907, 0.941], [0.650, 0.093, 0.059], [0.650, 0.407, 0.059], [0.722, 0.750, 0.053], [0.778, 0.250, 0.553], [0.850, 0.593, 0.559], [0.850, 0.907, 0.559]],
  "mass_density_g_cm3": 8.0,
  "vol_a3_per_atom": 18.31,
  "spacegroup": "Pnma (62)",
  "final_energy_ry_per_atom": -0.4675,
  "total_magnetization_mub_per_cell": 4.0
}

8.
{
  "formula": "Tl2Os2O5",
  "functional": "PBE",
  "state": "relaxed",
  "lattice": [[3.427, 0.000, 0.000], [0.000, 3.427, 0.000], [0.000, 0.000, 10.152]],
  "species": ["Tl", "Tl", "Os", "Os", "O", "O", "O", "O", "O"],
  "frac_coords": [[0.000, 0.000, 0.231], [0.000, 0.000, 0.769], [0.500, 0.500, 0.000], [0.500, 0.500, 0.500], [0.000, 0.000, 0.000], [0.000, 0.500, 0.388], [0.000, 0.500, 0.612], [0.500, 0.000, 0.388], [0.500, 0.000, 0.612]],
  "mass_density_g_cm3": 12.1,
  "vol_a3_per_atom": 13.25,
  "spacegroup": "P4/mmm (123)",
  "final_energy_ry_per_atom": -0.4200,
  "total_magnetization_mub_per_cell": 1.7
}

9.
{
  "formula": "Tl2ZnOsO6",
  "functional": "PBE",
  "state": "relaxed",
  "lattice": [[0.000, 3.993, 3.993], [3.993, 0.000, 3.993], [3.993, 3.993, 0.000]],
  "species": ["Tl", "Tl", "Zn", "Os", "O", "O", "O", "O", "O", "O"],
  "frac_coords": [[0.250, 0.250, 0.250], [0.750, 0.750, 0.750], [0.000, 0.000, 0.000], [0.500, 0.500, 0.500], [0.264, 0.264, 0.736], [0.264, 0.736, 0.264], [0.264, 0.736, 0.736], [0.736, 0.264, 0.264], [0.736, 0.264, 0.736], [0.736, 0.736, 0.264]],
  "mass_density_g_cm3": 9.9,
  "vol_a3_per_atom": 12.74,
  "spacegroup": "Fm-3m (225)",
  "final_energy_ry_per_atom": -0.4103,
  "total_magnetization_mub_per_cell": 0.0
}

10.
{
  "formula": "Tm2OsO4",
  "functional": "PBE",
  "state": "relaxed",
  "lattice": [[0.000, 4.664, 4.664], [4.664, 0.000, 4.664], [4.664, 4.664, 0.000]],
  "species": ["Tm", "Tm", "Tm", "Tm", "Os", "Os", "O", "O", "O", "O", "O", "O", "O", "O"],
  "frac_coords": [[0.000, 0.000, 0.000], [0.000, 0.000, 0.500], [0.000, 0.500, 0.000], [0.500, 0.000, 0.000], [0.375, 0.375, 0.375], [0.625, 0.625, 0.625], [0.215, 0.762, 0.762], [0.238, 0.238, 0.238], [0.238, 0.238, 0.785], [0.238, 0.785, 0.238], [0.762, 0.215, 0.762], [0.762, 0.762, 0.215], [0.762, 0.762, 0.762], [0.785, 0.238, 0.238]],
  "mass_density_g_cm3": 9.7,
  "vol_a3_per_atom": 14.50,
  "spacegroup": "Fd-3m (227)",
  "final_energy_ry_per_atom": -0.5695,
  "total_magnetization_mub_per_cell": 8.0
}

11.
{
  "formula": "Tm2Os2O7",
  "functional": "PBE",
  "state": "relaxed",
  "lattice": [[5.042, -5.043, 0.000], [5.042, 5.043, 0.000], [-5.036, 0.000, 5.042]],
  "species": ["Tm", "Tm", "Tm", "Tm", "Os", "Os", "Os", "Os", "O", "O", "O", "O", "O", "O", "O", "O", "O", "O", "O", "O", "O", "O"],
  "frac_coords": [[0.001, 0.999, 0.500], [0.499, 0.999, 0.998], [0.999, 0.001, 0.000], [0.999, 0.499, 0.498], [0.001, 0.501, 0.999], [0.498, 0.502, 0.493], [0.501, 0.001, 0.499], [0.502, 0.498, 0.993], [0.124, 0.874, 0.751], [0.156, 0.406, 0.246], [0.161, 0.840, 0.247], [0.165, 0.413, 0.824], [0.406, 0.156, 0.746], [0.410, 0.591, 0.745], [0.413, 0.165, 0.324], [0.585, 0.833, 0.247], [0.591, 0.410, 0.245], [0.593, 0.844, 0.682], [0.833, 0.585, 0.747], [0.840, 0.161, 0.747], [0.844, 0.593, 0.182], [0.874, 0.124, 0.251]],
  "mass_density_g_cm3": 10.8,
  "vol_a3_per_atom": 11.66,
  "spacegroup": "Cc (9)",
  "final_energy_ry_per_atom": -0.5960,
  "total_magnetization_mub_per_cell": 1.9
}

12.
{
  "formula": "Y6OsO12",
  "functional": "PBE",
  "state": "relaxed",
  "lattice": [[4.887, 2.822, 3.109], [-4.887, 2.822, 3.109], [0.000, -5.644, 3.109]],
  "species": ["Y", "Y", "Y", "Y", "Y", "Y", "Os", "O", "O", "O", "O", "O", "O", "O", "O", "O", "O", "O", "O"],
  "frac_coords": [[0.111, 0.643, 0.813], [0.187, 0.889, 0.357], [0.357, 0.187, 0.889], [0.643, 0.813, 0.111], [0.813, 0.111, 0.643], [0.889, 0.357, 0.187], [0.500, 0.500, 0.500], [0.067, 0.323, 0.910], [0.090, 0.933, 0.677], [0.203, 0.535, 0.427], [0.323, 0.910, 0.067], [0.427, 0.203, 0.535], [0.465, 0.573, 0.797], [0.535, 0.427, 0.203], [0.573, 0.797, 0.465], [0.677, 0.090, 0.933], [0.797, 0.465, 0.573], [0.910, 0.067, 0.323], [0.933, 0.677, 0.090]],
  "mass_density_g_cm3": 5.9,
  "vol_a3_per_atom": 13.54,
  "spacegroup": "R-3 (148)",
  "final_energy_ry_per_atom": -0.6459,
  "total_magnetization_mub_per_cell": 2.0
}